Entry from the Alexandria database: a crystal of NiIr5 relaxed with PBEsol (SCAN).

DFT formation energy = 0.08 eV/atom
offset from the most stable computed form = 0 meV per atom
M_tot = 0.000 μB per atom
VASP energy = -371.20 eV for the cell shown

Structure (POSCAR):
```
NiIr5
1.0
2.707 0.000 0.000
-1.354 4.908 0.002
0.000 -1.624 6.141
Ir Ni
5 1
direct
0.333 0.667 0.671 Ir
0.388 0.776 0.273 Ir
0.001 0.002 0.999 Ir
0.666 0.332 0.330 Ir
0.056 0.112 0.614 Ir
0.722 0.445 0.947 Ni
```